Material: RbPd2Pb2
Method: DFT, GGA-PBE
State: optimized geometry

Calculated values
DFT total energy ... -38.9 eV/cell
Excess energy over the best structure of this formula in the dataset ... 0.45 eV/f.u.
Total magnetic moment ... 0.00 μB per cell

Structure (POSCAR):
```
RbPd2Pb2
1.0
4.9442 0.0000 0.0000
0.0000 4.9442 0.0000
0.0000 0.0000 11.3033
Rb Pd Pb
2 4 4
Direct
0.0000 0.0000 0.0000
0.5000 0.5000 0.5000
0.0000 0.0000 0.3778
0.0000 0.0000 0.6222
0.5000 0.5000 0.1222
0.5000 0.5000 0.8778
0.0000 0.5000 0.2500
0.0000 0.5000 0.7500
0.5000 0.0000 0.2500
0.5000 0.0000 0.7500
```

***

Material: FeTcHg2
Method: DFT, GGA-PBE
State: optimized geometry

Calculated values
DFT total energy ... -17.1 eV/cell
Excess energy over the best structure of this formula in the dataset ... 1.00 eV/f.u.
Total magnetic moment ... 4.00 μB per cell

Structure (POSCAR):
```
FeTcHg2
1.0
4.0721 0.0000 0.0000
0.0000 4.0721 0.0000
0.0000 0.0000 4.1655
Fe Tc Hg
1 1 2
Direct
0.0000 0.0000 0.0000
0.5000 0.5000 0.0000
0.0000 0.5000 0.5000
0.5000 0.0000 0.5000
```

***

Material: NaTl6Pd2
Method: DFT, GGA-PBE
State: optimized geometry

Calculated values
DFT total energy ... -53.5 eV/cell
Total magnetic moment ... 0.00 μB per cell

Structure (POSCAR):
```
NaTl6Pd2
1.0
-4.4791 4.7167 5.4045
4.4791 -4.7167 5.4045
4.4791 4.7167 -5.4045
Na Tl Pd
2 12 4
Direct
0.0000 0.0000 0.0000
0.5000 0.5000 0.0000
0.0450 0.2486 0.7965
0.1890 0.2913 0.4803
0.1890 0.7087 0.8977
0.3329 0.0349 0.7020
0.3329 0.6309 0.2980
0.4521 0.2486 0.2035
0.5479 0.7514 0.7965
0.6671 0.3691 0.7020
0.6671 0.9651 0.2980
0.8110 0.2913 0.1023
0.8110 0.7087 0.5197
0.9550 0.7514 0.2035
0.1313 0.6313 0.5000
0.3254 0.0000 0.3254
0.6746 0.0000 0.6746
0.8687 0.3687 0.5000
```

***

Material: CoNiW2
Method: DFT, GGA-PBE
State: optimized geometry

Calculated values
DFT total energy ... -112.8 eV/cell
Excess energy over the best structure of this formula in the dataset ... 1.05 eV/f.u.
Total magnetic moment ... 2.62 μB per cell

Structure (POSCAR):
```
CoNiW2
1.0
2.7158 0.0000 0.0000
-1.3579 2.3519 0.0000
0.0000 0.0000 26.1585
Co Ni W
3 3 6
Direct
0.0000 0.0000 0.0000
0.3333 0.6667 0.6667
0.6667 0.3333 0.3333
0.0000 0.0000 0.2566
0.3333 0.6667 0.9233
0.6667 0.3333 0.5899
0.0000 0.0000 0.5086
0.0000 0.0000 0.7458
0.3333 0.6667 0.1753
0.3333 0.6667 0.4125
0.6667 0.3333 0.0792
0.6667 0.3333 0.8420
```

***

Material: TbPa2AsN5
Method: DFT, GGA-PBE
State: optimized geometry

Calculated values
E_form (uncorrected) ... -1059 meV per atom
DFT total energy ... -158.9 eV/cell
Total magnetic moment ... 0.00 μB per cell

Structure (POSCAR):
```
TbPa2AsN5
1.0
1.6737 -8.2272 0.0000
1.6737 8.2272 0.0000
0.0000 0.0000 10.3490
Tb Pa As N
2 4 2 10
Direct
0.1695 0.8305 0.5000
0.8305 0.1695 0.0000
0.1534 0.8466 0.8413
0.1759 0.8241 0.1700
0.8241 0.1759 0.6700
0.8466 0.1534 0.3413
0.4963 0.5037 0.4910
0.5037 0.4963 0.9910
0.0526 0.9474 0.0605
0.3052 0.6948 0.8265
0.3057 0.6943 0.5106
0.3095 0.6905 0.1711
0.4404 0.5596 0.3381
0.5596 0.4404 0.8381
0.6905 0.3095 0.6711
0.6943 0.3057 0.0106
0.6948 0.3052 0.3265
0.9474 0.0526 0.5605
```

***

Material: Cd2CuOs
Method: DFT, GGA-PBE
State: optimized geometry

Calculated values
DFT total energy ... -46.7 eV/cell
Excess energy over the best structure of this formula in the dataset ... 0.00 eV/f.u.
Total magnetic moment ... 0.33 μB per cell

Structure (POSCAR):
```
Cd2CuOs
1.0
2.8641 0.0000 0.0000
-1.4320 2.4804 0.0000
0.0000 0.0000 27.9563
Cd Cu Os
6 3 3
Direct
0.0000 0.0000 0.2474
0.0000 0.0000 0.7526
0.3333 0.6667 0.4193
0.3333 0.6667 0.9141
0.6667 0.3333 0.0859
0.6667 0.3333 0.5807
0.0000 0.0000 0.5000
0.3333 0.6667 0.1667
0.6667 0.3333 0.8333
0.0000 0.0000 0.0000
0.3333 0.6667 0.6667
0.6667 0.3333 0.3333
```

***

Material: Rb2IrPbI6
Method: DFT, GGA-PBE
State: optimized geometry

Calculated values
E_form (uncorrected) ... -642 meV per atom
DFT total energy ... -30.2 eV/cell
Total magnetic moment ... 0.00 μB per cell

Structure (POSCAR):
```
Rb2IrPbI6
1.0
-4.1921 4.1921 5.9409
4.1921 -4.1921 5.9409
4.1921 4.1921 -5.9409
Rb Ir Pb I
2 1 1 6
Direct
0.2500 0.7500 0.5000
0.7500 0.2500 0.5000
0.0000 0.0000 0.0000
0.5000 0.5000 0.0000
0.2307 0.2307 0.0000
0.2310 0.2310 0.4620
0.2310 0.7690 0.0000
0.7690 0.2310 0.0000
0.7693 0.7693 0.0000
0.7690 0.7690 0.5380
```

***

Material: Pm8Tl3Rh2
Method: DFT, GGA-PBE
State: optimized geometry

Calculated values
DFT total energy ... -64.1 eV/cell
Total magnetic moment ... 0.00 μB per cell

Structure (POSCAR):
```
Pm8Tl3Rh2
1.0
7.6872 -4.9699 0.0000
7.6872 4.9699 0.0000
-0.7934 0.0000 5.1581
Pm Tl Rh
8 3 2
Direct
0.0985 0.6179 0.4391
0.1313 0.1313 0.0428
0.3535 0.3535 0.9436
0.3821 0.9015 0.5609
0.6179 0.0985 0.4391
0.6465 0.6465 0.0564
0.8687 0.8687 0.9572
0.9015 0.3821 0.5609
0.2542 0.7458 0.0000
0.5000 0.5000 0.5000
0.7458 0.2542 0.0000
0.2538 0.2538 0.4686
0.7462 0.7462 0.5314
```

***

Material: HfAuI2O
Method: DFT, GGA-PBE
State: optimized geometry

Calculated values
E_form (uncorrected) ... 529 meV per atom
DFT total energy ... -18.6 eV/cell
Excess energy over the best structure of this formula in the dataset ... 6.85 eV/f.u.
Total magnetic moment ... 0.01 μB per cell

Structure (POSCAR):
```
HfAuI2O
1.0
5.8184 0.0000 0.0000
0.0000 5.8184 0.0000
0.0000 0.0000 3.8656
Hf Au I O
1 1 2 1
Direct
0.0000 0.0000 0.0000
0.5000 0.5000 0.5000
0.0000 0.5000 0.5000
0.5000 0.0000 0.5000
0.5000 0.5000 0.0000
```

***

Material: Be2CuRh
Method: DFT, GGA-PBE
State: optimized geometry

Calculated values
DFT total energy ... -40.3 eV/cell
Total magnetic moment ... 0.00 μB per cell

Structure (POSCAR):
```
Be2CuRh
1.0
2.8330 0.0000 0.0000
0.0000 3.7003 0.0000
0.0000 0.0000 8.0427
Be Cu Rh
4 2 2
Direct
0.0000 0.0000 0.0000
0.0000 0.5000 0.2626
0.5000 0.0000 0.7626
0.5000 0.5000 0.5000
0.0000 0.5000 0.7437
0.5000 0.0000 0.2437
0.0000 0.0000 0.5141
0.5000 0.5000 0.0141
```

***

Material: CsNbOsO6
Method: DFT, GGA-PBE
State: optimized geometry

Calculated values
E_form (uncorrected) ... -1785 meV per atom
DFT total energy ... -135.9 eV/cell
Total magnetic moment ... 0.61 μB per cell

Structure (POSCAR):
```
CsNbOsO6
1.0
-3.6466 3.7571 5.2429
3.6466 -3.7571 5.2429
3.6466 3.7571 -5.2429
Cs Nb Os O
2 2 2 12
Direct
0.3691 0.1191 0.2500
0.6309 0.8809 0.7500
0.0000 0.5000 0.5000
0.5000 0.5000 0.0000
0.0000 0.0000 0.5000
0.0000 0.5000 0.0000
0.0459 0.7959 0.2500
0.0537 0.4240 0.2305
0.0537 0.8232 0.6297
0.3066 0.1768 0.7305
0.3066 0.5760 0.1297
0.3139 0.5639 0.7500
0.6861 0.4361 0.2500
0.6934 0.4240 0.8703
0.6934 0.8232 0.2695
0.9463 0.1768 0.3703
0.9463 0.5760 0.7695
0.9541 0.2041 0.7500
```

***

Material: Ac2BeGe2
Method: DFT, GGA-PBE
State: optimized geometry

Calculated values
DFT total energy ... -48.0 eV/cell
Excess energy over the best structure of this formula in the dataset ... 0.00 eV/f.u.
Total magnetic moment ... 0.00 μB per cell

Structure (POSCAR):
```
Ac2BeGe2
1.0
5.8347 -2.1122 0.0000
5.8347 2.1122 0.0000
-3.7010 0.0000 10.4659
Ac Be Ge
4 2 4
Direct
0.0942 0.0942 0.4061
0.3030 0.3030 0.8615
0.6970 0.6970 0.1385
0.9058 0.9058 0.5939
0.4272 0.4272 0.1805
0.5728 0.5728 0.8195
0.0406 0.0406 0.9038
0.3552 0.3552 0.3506
0.6448 0.6448 0.6494
0.9594 0.9594 0.0962
```